(1)
Computed, not measured: a relaxed structure of CoSb2IBr at the PBE level of DFT.

Cell lengths 5.592, 5.592, 5.652 Å; angles 90.00, 90.00, 90.00 degrees
Fractional positions:
Co (0.000, 0.000, 0.000)
Sb (0.000, 0.500, 0.500)
Sb (0.500, 0.000, 0.500)
I (0.500, 0.500, 0.000)
Br (0.500, 0.500, 0.500)

As for the space-group type: P4/mmm. As for the density of states at the Fermi level: 9.39 states/eV/cell. The calculation puts the energy relative to the elements, uncorrected at 1.4651 eV per atom.

(2)
Computed, not measured: a relaxed structure of LiTaFe2 at the PBE level of DFT.

Cell lengths 3.978, 3.978, 3.227 Å; angles 90.00, 90.00, 90.00 degrees
Fractional positions:
Li (0.000, 0.000, 0.000)
Ta (0.500, 0.500, 0.000)
Fe (0.000, 0.500, 0.500)
Fe (0.500, 0.000, 0.500)

As for the space-group type: P4/mmm. As for the density of states at the Fermi level: 3.46 states/eV/cell. The calculation puts the energy of formation at 0.65 eV/f.u.